No. 1
{"formula": "CuMo2W", "functional": "PBE-GGA", "state": "relaxed", "crystal_system": "cubic", "dft_energy_ev_per_cell": -37.41, "formation_energy_ev_per_atom": 0.3245, "e_above_lowest_polymorph_mev_per_atom": 189, "cell": [[0.0000, 3.1218, 3.1218], [3.1218, 0.0000, 3.1218], [3.1218, 3.1218, 0.0000]], "species": ["Cu", "Mo", "Mo", "W"], "fractional_positions": [[0.0000, 0.0000, 0.0000], [0.2500, 0.2500, 0.2500], [0.7500, 0.7500, 0.7500], [0.5000, 0.5000, 0.5000]]}

---

No. 2
{"formula": "CuMo2W", "functional": "PBE-GGA", "state": "relaxed", "crystal_system": "tetragonal", "dft_energy_ev_per_cell": -70.22, "formation_energy_ev_per_atom": 0.9001, "e_above_lowest_polymorph_mev_per_atom": 764, "cell": [[-3.5097, 3.5097, 2.6560], [3.5097, -3.5097, 2.6560], [3.5097, 3.5097, -2.6560]], "species": ["Cu", "Cu", "Mo", "Mo", "Mo", "Mo", "W", "W"], "fractional_positions": [[0.0000, 0.0000, 0.0000], [0.7500, 0.2500, 0.5000], [0.1239, 0.6250, 0.9989], [0.3750, 0.3739, 0.4989], [0.6261, 0.1250, 0.0011], [0.8750, 0.8761, 0.5011], [0.2500, 0.7500, 0.5000], [0.5000, 0.5000, 0.0000]]}

---

No. 3
{"formula": "CuMo2W", "functional": "PBE-GGA", "state": "relaxed", "crystal_system": "orthorhombic", "dft_energy_ev_per_cell": -38.17, "formation_energy_ev_per_atom": 0.1360, "e_above_lowest_polymorph_mev_per_atom": 0, "cell": [[1.6118, -2.1599, 0.0000], [1.6118, 2.1599, 0.0000], [0.0000, 0.0000, 8.7080]], "species": ["Cu", "Mo", "Mo", "W"], "fractional_positions": [[0.0000, 0.0000, 0.0000], [0.5000, 0.5000, 0.2424], [0.5000, 0.5000, 0.7576], [0.0000, 0.0000, 0.5000]]}

---

No. 4
{"formula": "CuMoW2", "functional": "PBE-GGA", "state": "relaxed", "crystal_system": "tetragonal", "dft_energy_ev_per_cell": -39.42, "formation_energy_ev_per_atom": 0.3526, "e_above_lowest_polymorph_mev_per_atom": 186, "cell": [[2.6571, 0.0000, 0.0000], [0.0000, 2.6571, 0.0000], [0.0000, 0.0000, 8.6723]], "species": ["Cu", "Mo", "W", "W"], "fractional_positions": [[0.0000, 0.0000, 0.0000], [0.0000, 0.0000, 0.5000], [0.5000, 0.5000, 0.2330], [0.5000, 0.5000, 0.7670]]}

---

No. 5
{"formula": "CuMo2W", "functional": "PBE-GGA", "state": "relaxed", "crystal_system": "tetragonal", "dft_energy_ev_per_cell": -37.52, "formation_energy_ev_per_atom": 0.2985, "e_above_lowest_polymorph_mev_per_atom": 163, "cell": [[-2.0106, 2.0106, 3.7357], [2.0106, -2.0106, 3.7357], [2.0106, 2.0106, -3.7357]], "species": ["Cu", "Mo", "Mo", "W"], "fractional_positions": [[0.0000, 0.0000, 0.0000], [0.2500, 0.7500, 0.5000], [0.5000, 0.5000, 0.0000], [0.7500, 0.2500, 0.5000]]}

---

No. 6
{"formula": "CuMo2W", "functional": "PBE-GGA", "state": "relaxed", "crystal_system": "monoclinic", "dft_energy_ev_per_cell": -37.79, "formation_energy_ev_per_atom": 0.2304, "e_above_lowest_polymorph_mev_per_atom": 94, "cell": [[2.6521, 0.0000, 0.0000], [0.0000, 4.4366, 0.0000], [-0.9526, 0.0000, 5.1759]], "species": ["Cu", "Mo", "Mo", "W"], "fractional_positions": [[0.0000, 0.0000, 0.0000], [0.2539, 0.5000, 0.7516], [0.7461, 0.5000, 0.2484], [0.5000, 0.0000, 0.5000]]}

---

No. 7
{"formula": "CuMo3W", "functional": "PBE-GGA", "state": "relaxed", "crystal_system": "cubic", "dft_energy_ev_per_cell": -39.79, "formation_energy_ev_per_atom": 1.9500, "e_above_lowest_polymorph_mev_per_atom": 215, "cell": [[4.7423, 0.0000, 0.0000], [0.0000, 4.7423, 0.0000], [0.0000, 0.0000, 4.7423]], "species": ["Cu", "Mo", "Mo", "Mo", "W"], "fractional_positions": [[0.0000, 0.0000, 0.0000], [0.0000, 0.5000, 0.5000], [0.5000, 0.0000, 0.5000], [0.5000, 0.5000, 0.0000], [0.5000, 0.5000, 0.5000]]}

---

No. 8
{"formula": "CuMo2W", "functional": "PBE-GGA", "state": "relaxed", "crystal_system": "tetragonal", "dft_energy_ev_per_cell": -37.48, "formation_energy_ev_per_atom": 0.3067, "e_above_lowest_polymorph_mev_per_atom": 171, "cell": [[2.6464, 0.0000, 0.0000], [0.0000, 2.6464, 0.0000], [0.0000, 0.0000, 8.6968]], "species": ["Cu", "Mo", "Mo", "W"], "fractional_positions": [[0.0000, 0.0000, 0.0000], [0.0000, 0.0000, 0.5012], [0.5000, 0.5000, 0.2344], [0.5000, 0.5000, 0.7676]]}

---

No. 9
{"formula": "CuMo2W", "functional": "PBE-GGA", "state": "relaxed", "crystal_system": "tetragonal", "dft_energy_ev_per_cell": -37.51, "formation_energy_ev_per_atom": 0.3009, "e_above_lowest_polymorph_mev_per_atom": 165, "cell": [[-2.0601, 2.0601, 3.5709], [2.0601, -2.0601, 3.5709], [2.0601, 2.0601, -3.5709]], "species": ["Cu", "Mo", "Mo", "W"], "fractional_positions": [[0.0000, 0.0000, 0.0000], [0.2500, 0.7500, 0.5000], [0.7500, 0.2500, 0.5000], [0.5000, 0.5000, 0.0000]]}

---

No. 10
{"formula": "CuMo2W", "functional": "PBE-GGA", "state": "relaxed", "crystal_system": "tetragonal", "dft_energy_ev_per_cell": -37.69, "formation_energy_ev_per_atom": 0.2559, "e_above_lowest_polymorph_mev_per_atom": 120, "cell": [[3.2512, 0.0000, 0.0000], [0.0000, 3.2512, 0.0000], [0.0000, 0.0000, 5.6958]], "species": ["Cu", "Mo", "Mo", "W"], "fractional_positions": [[0.0000, 0.0000, 0.0000], [0.0000, 0.0000, 0.5004], [0.5000, 0.5000, 0.2406], [0.5000, 0.5000, 0.7623]]}

---

No. 11
{"formula": "CuMoW2", "functional": "PBE-GGA", "state": "relaxed", "crystal_system": "tetragonal", "dft_energy_ev_per_cell": -39.84, "formation_energy_ev_per_atom": 0.2474, "e_above_lowest_polymorph_mev_per_atom": 81, "cell": [[3.9194, 0.0000, 0.0000], [0.0000, 3.9194, 0.0000], [0.0000, 0.0000, 3.9234]], "species": ["Cu", "Mo", "W", "W"], "fractional_positions": [[0.0000, 0.0000, 0.0000], [0.5000, 0.5000, 0.0000], [0.0000, 0.5000, 0.5000], [0.5000, 0.0000, 0.5000]]}

---

No. 12
{"formula": "CuMoW2", "functional": "PBE-GGA", "state": "relaxed", "crystal_system": "orthorhombic", "dft_energy_ev_per_cell": -39.59, "formation_energy_ev_per_atom": 0.3117, "e_above_lowest_polymorph_mev_per_atom": 145, "cell": [[-1.6394, 2.1747, 4.2952], [1.6394, -2.1747, 4.2952], [1.6394, 2.1747, -4.2952]], "species": ["Cu", "Mo", "W", "W"], "fractional_positions": [[0.0000, 0.0000, 0.0000], [0.2588, 0.7588, 0.5000], [0.5013, 0.5013, 0.0000], [0.7441, 0.2441, 0.5000]]}